Entry from Alexandria: OsRhSe2 after structural relaxation (PBE).

The value obtained for the excess energy over the best structure of this formula in the dataset is 0.062 eV/atom. For the uncorrected formation energy, the calculation gives 0.6 eV per formula unit. As for the density of states at the Fermi level: 0.97 states/eV/atom. Its spin magnetization is 1.03 μB per formula unit.

a b c (Å): 6.7137 6.7137 6.7137
angles (deg): 146.94 146.58 47.72
Each line ends with the local moment (μB).
Sites, in units of the cell vectors:
Se  0.6162  0.6162  0.0000  0.01
Se  0.8838  0.8838  0.0000  0.01
Os  0.7500  0.2500  0.5000  0.70
Rh  0.2500  0.7500  0.5000  0.22